Record 1
The following is a DFT calculation (GGA-PBE) of a relaxed structure of SrZnTeO.

Lattice parameters (Å, degrees): 7.2875 7.5287 7.1184 90.00 90.00 90.00
Fractional positions:
O 0.0608 0.1137 0.0965
O 0.5608 0.8863 0.0965
O 0.4392 0.1137 0.5965
O 0.9392 0.8863 0.5965
Sr 0.1503 0.0779 0.4231
Sr 0.6503 0.9221 0.4231
Sr 0.3497 0.0779 0.9231
Sr 0.8497 0.9221 0.9231
Te 0.5962 0.3591 0.1758
Te 0.0962 0.6409 0.1758
Te 0.9038 0.3591 0.6758
Te 0.4038 0.6409 0.6758
Zn 0.9458 0.3440 0.0546
Zn 0.4458 0.6560 0.0546
Zn 0.5542 0.3440 0.5546
Zn 0.0542 0.6560 0.5546

Properties
Crystal system = orthorhombic
Calculated volume = 390.55 Å³/cell
Total DFT energy (no corrections) = -4.31 eV/atom


Record 2
The following is a DFT calculation (GGA-PBE) of a relaxed structure of SrZnTeO.

Lattice parameters (Å, degrees): 6.4441 9.4465 6.2226 90.00 90.00 90.00
Fractional positions:
O 0.1109 0.0521 0.1390
O 0.6109 0.9479 0.1390
O 0.3891 0.0521 0.6390
O 0.8891 0.9479 0.6390
Sr 0.0006 0.2966 0.0642
Sr 0.5006 0.7034 0.0642
Sr 0.4994 0.2966 0.5642
Sr 0.9994 0.7034 0.5642
Te 0.5015 0.3391 0.0618
Te 0.0015 0.6609 0.0618
Te 0.9985 0.3391 0.5618
Te 0.4985 0.6609 0.5618
Zn 0.1059 0.0635 0.4850
Zn 0.6059 0.9365 0.4850
Zn 0.3941 0.0635 0.9850
Zn 0.8941 0.9365 0.9850

Properties
Crystal system = orthorhombic
Calculated volume = 378.79 Å³/cell
Total DFT energy (no corrections) = -4.25 eV/atom